The following is a PBE-GGA calculation of CaHgOsO6 after structural relaxation, from the Alexandria database.

## Properties
As for the theoretical density: 6.1 g/cm³. The uncorrected formation energy is -1212 meV/atom. Its space-group type is No. 5.

Lattice parameters (Å, degrees): 5.862 5.862 5.145 82.44 97.56 57.74
Element x y z (fractional)
Ca1 0.663 0.663 0.500
Hg1 0.972 0.972 0.000
Os1 0.321 0.321 0.500
O1 0.014 0.408 0.266
O2 0.408 0.014 0.734
O3 0.647 0.311 0.718
O4 0.107 0.557 0.694
O5 0.311 0.647 0.282
O6 0.557 0.107 0.306

The following is a PBE-GGA calculation of MgMnAlCo after structural relaxation, from the Alexandria database.

## Properties
As for the theoretical density: 5.0 g/cm³. Its density of states at the Fermi level is 0.58 states/eV/atom. Its space-group type is No. 216. The energy of formation from the pure elements comes out at -0.071 eV per atom.

Lattice parameters (Å, degrees): 4.266 4.266 4.266 60.00 60.00 60.00
Element x y z (fractional)
Mg1 0.750 0.750 0.750
Mn1 0.000 0.000 0.000
Co1 0.500 0.500 0.500
Al1 0.250 0.250 0.250

The following is a PBE-GGA calculation of Tl3ZnOs2O9 after structural relaxation, from the Alexandria database.

## Properties
As for the theoretical density: 10.1 g/cm³. Its density of states at the Fermi level is 0.53 states/eV/atom. The uncorrected formation energy is -867 meV/atom. Its space-group type is No. 164.

Lattice parameters (Å, degrees): 5.690 5.690 7.033 90.00 90.00 120.00
Element x y z (fractional)
Tl1 0.333 0.667 0.645
Tl2 0.000 0.000 0.000
Tl3 0.667 0.333 0.355
Zn1 0.000 0.000 0.500
Os1 0.333 0.667 0.161
Os2 0.667 0.333 0.839
O1 0.824 0.176 0.685
O2 0.824 0.648 0.685
O3 0.352 0.176 0.685
O4 0.648 0.824 0.315
O5 0.176 0.352 0.315
O6 0.176 0.824 0.315
O7 0.500 0.000 0.000
O8 0.000 0.500 0.000
O9 0.500 0.500 0.000

The following is a PBE-GGA calculation of Cu2AsPd3 after structural relaxation, from the Alexandria database.

## Properties
As for the theoretical density: 10.0 g/cm³. Its density of states at the Fermi level is 0.43 states/eV/atom. Its space-group type is No. 65. The energy of formation from the pure elements comes out at -0.192 eV per atom.

Lattice parameters (Å, degrees): 4.473 7.146 5.722 90.00 90.01 71.76
Element x y z (fractional)
Cu1 0.000 0.000 0.000
Cu2 0.000 0.000 0.500
Cu3 0.334 0.332 0.500
Cu4 0.666 0.668 0.500
As1 0.343 0.314 0.000
As2 0.657 0.686 0.000
Pd1 0.833 0.334 0.750
Pd2 0.500 0.000 0.251
Pd3 0.167 0.666 0.250
Pd4 0.833 0.334 0.250
Pd5 0.167 0.666 0.750
Pd6 0.500 0.000 0.749